Compound: Ca4AlO5
Source: Alexandria
Functional: PBE-GGA
Structure: optimized geometry

Calculated values
Crystal system   tetragonal
DOS at the Fermi energy   3.35 states/eV/cell
ΔE_f (raw)   -26.43 eV per formula unit

a = 5.7622 Å, b = 5.7622 Å, c = 5.7622 Å
α = 100.53°, β = 100.53°, γ = 129.38°
With the nearest neighbours (Å) after each atom.
Fractional coordinates of all 10 atoms:
Ca1 0.1014 0.2980 0.3994  5 O 2.34-2.50
Ca2 0.2980 0.8986 0.1966  5 O 2.34-2.50
Ca3 0.7020 0.1014 0.8034  5 O 2.34-2.50
Ca4 0.8986 0.7020 0.6006  5 O 2.34-2.50
Al1 0.5472 0.5472 0.0000  5 O 1.84-2.02
O1 0.2382 0.5826 0.8276  1 Al 2.02
O2 0.4106 0.2382 0.6557  1 Al 2.02
O3 0.5826 0.7549 0.3443  1 Al 2.02
O4 0.7549 0.4106 0.1724  1 Al 2.02
O5 0.9216 0.9216 0.0000  1 Al 1.84

Compound: Ca6Al2O
Source: Alexandria
Functional: PBE-GGA
Structure: optimized geometry

Calculated values
Crystal system   monoclinic
DOS at the Fermi energy   6.48 states/eV/cell
ΔE_f (raw)   -6.58 eV per formula unit

a = 6.9512 Å, b = 6.9512 Å, c = 7.1313 Å
α = 120.81°, β = 120.81°, γ = 61.18°
With the nearest neighbours (Å) after each atom.
Fractional coordinates of all 9 atoms:
Ca1 0.2167 0.7335 0.7155  1 O 2.43
Ca2 0.2447 0.2447 0.7904  1 O 2.38
Ca3 0.2665 0.7833 0.2845  1 O 2.43
Ca4 0.7335 0.2167 0.7155  1 O 2.43
Ca5 0.7553 0.7553 0.2096  1 O 2.38
Ca6 0.7833 0.2665 0.2845  1 O 2.43
Al1 0.2499 0.2499 0.2479  7 Ca 3.23-3.55
Al2 0.7501 0.7501 0.7521  7 Ca 3.23-3.55
O1 0.0000 0.0000 0.5000  6 Ca 2.38-2.43

Compound: Ca4Al6O13
Source: Alexandria
Functional: PBE-GGA
Structure: optimized geometry

Calculated values
Crystal system   cubic
DOS at the Fermi energy   0.00 states/eV/cell
ΔE_f (raw)   -70.00 eV per formula unit
E above lowest polymorph   0 meV/atom

a = 7.6879 Å, b = 7.6879 Å, c = 7.6879 Å
α = 109.47°, β = 109.47°, γ = 109.47°
With the nearest neighbours (Å) after each atom.
Fractional coordinates of all 23 atoms:
Ca1 0.0000 0.0000 0.6895  4 O 2.27-2.39
Ca2 0.0000 0.6895 0.0000  4 O 2.27-2.39
Ca3 0.3105 0.3105 0.3105  4 O 2.27-2.39
Ca4 0.6895 0.0000 0.0000  4 O 2.27-2.39
Al1 0.2500 0.5000 0.7500  4 O 1.77
Al2 0.2500 0.7500 0.5000  4 O 1.77
Al3 0.5000 0.2500 0.7500  4 O 1.77
Al4 0.5000 0.7500 0.2500  4 O 1.77
Al5 0.7500 0.2500 0.5000  4 O 1.77
Al6 0.7500 0.5000 0.2500  4 O 1.77
O1 0.0000 0.0000 0.0000  4 Ca 2.39
O2 0.0000 0.4503 0.7298  2 Al 1.77
O3 0.0000 0.7298 0.4503  2 Al 1.77
O4 0.2702 0.2702 0.7205  2 Al 1.77
O5 0.2702 0.7205 0.2702  2 Al 1.77
O6 0.2795 0.5497 0.5497  2 Al 1.77
O7 0.4503 0.0000 0.7298  2 Al 1.77
O8 0.4503 0.7298 0.0000  2 Al 1.77
O9 0.5497 0.2795 0.5497  2 Al 1.77
O10 0.5497 0.5497 0.2795  2 Al 1.77
O11 0.7205 0.2702 0.2702  2 Al 1.77
O12 0.7298 0.0000 0.4503  2 Al 1.77
O13 0.7298 0.4503 0.0000  2 Al 1.77

Compound: CaAlO2
Source: Alexandria
Functional: PBE-GGA
Structure: optimized geometry

Calculated values
Crystal system   trigonal
DOS at the Fermi energy   0.80 states/eV/cell
ΔE_f (raw)   -9.46 eV per formula unit

a = 6.1781 Å, b = 6.1781 Å, c = 6.1781 Å
α = 32.65°, β = 32.65°, γ = 32.65°
With the nearest neighbours (Å) after each atom.
Fractional coordinates of all 4 atoms:
Ca1 0.0000 0.0000 0.0000  6 O 2.34
Al1 0.5000 0.5000 0.5000  2 O 1.71
O1 0.4027 0.4027 0.4027  1 Al 1.71
O2 0.5973 0.5973 0.5973  1 Al 1.71

Compound: CaAl12O19
Source: Alexandria
Functional: PBE-GGA
Structure: optimized geometry

Calculated values
Crystal system   hexagonal
DOS at the Fermi energy   0.00 states/eV/cell
ΔE_f (raw)   -96.52 eV per formula unit

a = 5.6110 Å, b = 5.6110 Å, c = 22.1415 Å
α = 90.00°, β = 90.00°, γ = 120.00°
With the nearest neighbours (Å) after each atom.
Fractional coordinates of all 64 atoms:
Ca1 0.3333 0.6667 0.0000  12 O 2.64-2.84
Ca2 0.6667 0.3333 0.5000  12 O 2.64-2.84
Al1 0.0000 0.0000 0.2447  6 O 1.89-1.90
Al2 0.0000 0.0000 0.4851  3 O 1.77
Al3 0.0000 0.0000 0.7447  6 O 1.89-1.90
Al4 0.0000 0.0000 0.9851  3 O 1.77
Al5 0.1677 0.3355 0.1355  6 O 1.83-2.03
Al6 0.1677 0.8323 0.1355  6 O 1.83-2.03
Al7 0.1695 0.3389 0.8537  6 O 1.82-2.01
Al8 0.1695 0.8305 0.8537  6 O 1.82-2.01
Al9 0.3333 0.6667 0.2729  4 O 1.82-1.83
Al10 0.3333 0.6667 0.4352  6 O 1.89-1.97
Al11 0.3333 0.6667 0.5536  6 O 1.89-1.98
Al12 0.3333 0.6667 0.7171  4 O 1.80-1.83
Al13 0.3355 0.1677 0.6355  6 O 1.83-2.03
Al14 0.3389 0.1695 0.3537  6 O 1.82-2.01
Al15 0.6611 0.8305 0.8537  6 O 1.82-2.01
Al16 0.6645 0.8323 0.1355  6 O 1.83-2.03
Al17 0.6667 0.3333 0.0536  6 O 1.89-1.98
Al18 0.6667 0.3333 0.2171  4 O 1.80-1.83
Al19 0.6667 0.3333 0.7729  4 O 1.82-1.83
Al20 0.6667 0.3333 0.9352  6 O 1.89-1.97
Al21 0.8305 0.1695 0.3537  6 O 1.82-2.01
Al22 0.8305 0.6611 0.3537  6 O 1.82-2.01
Al23 0.8323 0.1677 0.6355  6 O 1.83-2.03
Al24 0.8323 0.6645 0.6355  6 O 1.83-2.03
O1 0.0000 0.0000 0.0977  3 Al 1.83
O2 0.0000 0.0000 0.3951  4 Al 1.88-1.99
O3 0.0000 0.0000 0.5977  3 Al 1.83
O4 0.0000 0.0000 0.8951  4 Al 1.88-1.99
O5 0.0060 0.5030 0.8936  3 Al 1.82-1.89
O6 0.0073 0.5036 0.0952  3 Al 1.83-1.89
O7 0.1547 0.3094 0.2973  4 Al 1.82-2.01
O8 0.1547 0.8453 0.2973  4 Al 1.82-2.01
O9 0.1558 0.3116 0.6934  2 Al 1.80-1.89
O10 0.1558 0.8442 0.6934  2 Al 1.80-1.89
O11 0.1811 0.3622 0.4940  3 Al 1.77-1.98
O12 0.1811 0.8189 0.4940  3 Al 1.77-1.98
O13 0.3094 0.1547 0.7973  4 Al 1.82-2.01
O14 0.3116 0.1558 0.1934  2 Al 1.80-1.89
O15 0.3333 0.6667 0.1903  4 Al 1.83-2.01
O16 0.3333 0.6667 0.7996  4 Al 1.83-1.99
O17 0.3622 0.1811 0.9940  3 Al 1.77-1.98
O18 0.4964 0.5036 0.0952  3 Al 1.83-1.89
O19 0.4964 0.9927 0.0952  3 Al 1.83-1.89
O20 0.4970 0.5030 0.8936  3 Al 1.82-1.89
O21 0.4970 0.9940 0.8936  3 Al 1.82-1.89
O22 0.5030 0.0060 0.3936  3 Al 1.82-1.89
O23 0.5030 0.4970 0.3936  3 Al 1.82-1.89
O24 0.5036 0.0073 0.5952  3 Al 1.83-1.89
O25 0.5036 0.4964 0.5952  3 Al 1.83-1.89
O26 0.6378 0.8189 0.4940  3 Al 1.77-1.98
O27 0.6667 0.3333 0.2996  4 Al 1.83-1.99
O28 0.6667 0.3333 0.6903  4 Al 1.83-2.01
O29 0.6884 0.8442 0.6934  2 Al 1.80-1.89
O30 0.6906 0.8453 0.2973  4 Al 1.82-2.01
O31 0.8189 0.1811 0.9940  3 Al 1.77-1.98
O32 0.8189 0.6378 0.9940  3 Al 1.77-1.98
O33 0.8442 0.1558 0.1934  2 Al 1.80-1.89
O34 0.8442 0.6884 0.1934  2 Al 1.80-1.89
O35 0.8453 0.1547 0.7973  4 Al 1.82-2.01
O36 0.8453 0.6906 0.7973  4 Al 1.82-2.01
O37 0.9927 0.4964 0.5952  3 Al 1.83-1.89
O38 0.9940 0.4970 0.3936  3 Al 1.82-1.89

Compound: CaAlO
Source: Alexandria
Functional: PBE-GGA
Structure: optimized geometry

Calculated values
Crystal system   orthorhombic
DOS at the Fermi energy   2.22 states/eV/cell
ΔE_f (raw)   -4.17 eV per formula unit

a = 6.4067 Å, b = 6.4067 Å, c = 6.4067 Å
α = 133.09°, β = 130.04°, γ = 70.95°
With the nearest neighbours (Å) after each atom.
Fractional coordinates of all 6 atoms:
Ca1 0.1707 0.1707 0.0000  1 O 2.16
Ca2 0.8293 0.8293 0.0000  1 O 2.16
Al1 0.5000 0.2407 0.7407  2 O 1.84
Al2 0.5000 0.7593 0.2593  2 O 1.84
O1 0.3781 0.3781 0.0000  2 Al 1.84
O2 0.6219 0.6219 0.0000  2 Al 1.84

Compound: Ca2Al2O5
Source: Alexandria
Functional: PBE-GGA
Structure: optimized geometry

Calculated values
Crystal system   orthorhombic
DOS at the Fermi energy   0.00 states/eV/cell
ΔE_f (raw)   -27.23 eV per formula unit
E above lowest polymorph   0 meV/atom

a = 8.1817 Å, b = 8.1817 Å, c = 8.1817 Å
α = 55.36°, β = 140.99°, γ = 142.31°
With the nearest neighbours (Å) after each atom.
Fractional coordinates of all 18 atoms:
Ca1 0.0256 0.1076 0.1332  7 O 2.33-2.58
Ca2 0.0256 0.3924 0.4179  7 O 2.33-2.58
Ca3 0.9744 0.6076 0.5821  7 O 2.33-2.58
Ca4 0.9744 0.8924 0.8668  7 O 2.33-2.58
Al1 0.3835 0.7084 0.1751  4 O 1.76-1.81
Al2 0.5069 0.0069 0.5000  6 O 1.90-2.08
Al3 0.5069 0.5069 0.0000  6 O 1.90-2.08
Al4 0.5333 0.2084 0.8249  4 O 1.76-1.81
O1 0.0083 0.2664 0.7631  2 Al 1.90-1.91
O2 0.0083 0.7452 0.2418  2 Al 1.90-1.91
O3 0.2594 0.8724 0.8870  2 Al 1.80-1.81
O4 0.4650 0.1640 0.5840  1 Al 1.76
O5 0.4650 0.3810 0.8010  1 Al 1.76
O6 0.5034 0.2452 0.2369  2 Al 1.90-1.91
O7 0.5034 0.7664 0.7582  2 Al 1.90-1.91
O8 0.5800 0.6640 0.1990  1 Al 1.76
O9 0.5800 0.8810 0.4160  1 Al 1.76
O10 0.9854 0.3724 0.1130  2 Al 1.80-1.81

Compound: CaAlO2
Source: Alexandria
Functional: PBE-GGA
Structure: optimized geometry

Calculated values
Crystal system   trigonal
DOS at the Fermi energy   1.36 states/eV/cell
ΔE_f (raw)   -8.63 eV per formula unit

a = 6.5609 Å, b = 6.5609 Å, c = 6.5609 Å
α = 26.58°, β = 26.58°, γ = 26.58°
With the nearest neighbours (Å) after each atom.
Fractional coordinates of all 4 atoms:
Ca1 0.0000 0.0000 0.0000  2 O 2.21
Al1 0.5000 0.5000 0.5000  6 O 1.98
O1 0.1166 0.1166 0.1166  3 Al 1.98, 1 Ca 2.21
O2 0.8834 0.8834 0.8834  3 Al 1.98, 1 Ca 2.21

Number 1: calculated total energy -6.297 eV per atom, magnetic moment 0.12 μB/f.u.. Number 2: calculated total energy -3.448 eV per atom, magnetic moment 0.79 μB/f.u.. Number 3: calculated total energy -7.170 eV per atom, magnetic moment 0.27 μB/f.u.. Number 4: calculated total energy -6.279 eV per atom, magnetic moment 0.00 μB/f.u.. Number 5: calculated total energy -7.426 eV per atom, magnetic moment 0.00 μB/f.u.. Number 6: calculated total energy -4.956 eV per atom, magnetic moment 0.00 μB/f.u.. Number 7: calculated total energy -7.056 eV per atom, magnetic moment 0.00 μB/f.u.. Number 8: calculated total energy -6.072 eV per atom, magnetic moment 0.32 μB/f.u..